Here is crystalline YMoSCl2 at its relaxed geometry from the Alexandria database. Energies are from PBE.

Computed properties:
formation energy without anion corrections = -0.479 eV/atom
energy above the lowest structure with this stoichiometry = 0.000 eV/atom
density of states at the Fermi level = 1.0 states/eV/cell
size of the total moment = 5.000 μB/cell

Unit cell a=5.2209 b=5.2209 c=5.3185 alpha=90.00 beta=90.00 gamma=90.00
Space group P4/mmm (No. 123)
Inequivalent atoms, fractional coordinates:
Y 0.0000 0.0000 0.0000 x1
Mo 0.5000 0.5000 0.5000 x1
S 0.0000 0.0000 0.5000 x1
Cl 0.0000 0.5000 0.0000 x2

Here is crystalline YMoSCl2 at its relaxed geometry from the Alexandria database. Energies are from PBE.

Computed properties:
formation energy without anion corrections = -0.375 eV/atom
energy above the lowest structure with this stoichiometry = 0.104 eV/atom
density of states at the Fermi level = 4.7 states/eV/cell
size of the total moment = 1.439 μB/cell

Unit cell a=4.7881 b=4.7881 c=4.7684 alpha=90.00 beta=90.00 gamma=90.00
Space group P4/mmm (No. 123)
Inequivalent atoms, fractional coordinates:
Y 0.0000 0.0000 0.0000 x1
Mo 0.5000 0.5000 0.5000 x1
S 0.5000 0.5000 0.0000 x1
Cl 0.0000 0.5000 0.5000 x2

Here is crystalline ZnMoSCl2 at its relaxed geometry from the Alexandria database. Energies are from PBE.

Computed properties:
formation energy without anion corrections = -0.130 eV/atom
energy above the lowest structure with this stoichiometry = 0.000 eV/atom
density of states at the Fermi level = 2.0 states/eV/cell
size of the total moment = 1.575 μB/cell

Unit cell a=4.9870 b=4.9870 c=4.6369 alpha=90.00 beta=90.00 gamma=90.00
Space group P4/mmm (No. 123)
Inequivalent atoms, fractional coordinates:
Zn 0.0000 0.0000 0.0000 x1
Mo 0.5000 0.5000 0.5000 x1
S 0.5000 0.5000 0.0000 x1
Cl 0.0000 0.5000 0.5000 x2

Here is crystalline ZnMoSCl2 at its relaxed geometry from the Alexandria database. Energies are from PBE.

Computed properties:
formation energy without anion corrections = 0.316 eV/atom
energy above the lowest structure with this stoichiometry = 0.447 eV/atom
density of states at the Fermi level = 2.6 states/eV/cell
size of the total moment = 3.999 μB/cell

Unit cell a=4.6306 b=4.6306 c=5.0932 alpha=90.00 beta=90.00 gamma=90.00
Space group P4/mmm (No. 123)
Inequivalent atoms, fractional coordinates:
Zn 0.0000 0.0000 0.0000 x1
Mo 0.5000 0.5000 0.5000 x1
S 0.0000 0.0000 0.5000 x1
Cl 0.0000 0.5000 0.0000 x2

Here is crystalline ZrMoS2Cl at its relaxed geometry from the Alexandria database. Energies are from PBE.

Computed properties:
formation energy without anion corrections = -0.085 eV/atom
energy above the lowest structure with this stoichiometry = 0.000 eV/atom
density of states at the Fermi level = 2.4 states/eV/cell
size of the total moment = 4.861 μB/cell

Unit cell a=5.0080 b=5.0080 c=4.9755 alpha=90.00 beta=90.00 gamma=90.00
Space group P4/mmm (No. 123)
Inequivalent atoms, fractional coordinates:
Zr 0.0000 0.0000 0.0000 x1
Mo 0.5000 0.5000 0.5000 x1
S 0.0000 0.5000 0.0000 x2
Cl 0.0000 0.0000 0.5000 x1

Here is crystalline ZrMoS2Cl at its relaxed geometry from the Alexandria database. Energies are from PBE.

Computed properties:
formation energy without anion corrections = 0.082 eV/atom
energy above the lowest structure with this stoichiometry = 0.166 eV/atom
density of states at the Fermi level = 6.9 states/eV/cell
size of the total moment = 0.539 μB/cell

Unit cell a=4.6718 b=4.6718 c=4.6906 alpha=90.00 beta=90.00 gamma=90.00
Space group P4/mmm (No. 123)
Inequivalent atoms, fractional coordinates:
Zr 0.0000 0.0000 0.0000 x1
Mo 0.5000 0.5000 0.5000 x1
S 0.0000 0.5000 0.5000 x2
Cl 0.5000 0.5000 0.0000 x1

Here is crystalline Sb3MoCl at its relaxed geometry from the Alexandria database. Energies are from PBE.

Computed properties:
formation energy without anion corrections = 1.265 eV/atom
energy above the lowest structure with this stoichiometry = 1.072 eV/atom
density of states at the Fermi level = 2.5 states/eV/cell
size of the total moment = 2.737 μB/cell

Unit cell a=5.2009 b=5.2009 c=5.2009 alpha=90.00 beta=90.00 gamma=90.00
Space group Pm-3m (No. 221)
Inequivalent atoms, fractional coordinates:
Sb 0.0000 0.0000 0.5000 x3
Mo 0.5000 0.5000 0.5000 x1
Cl 0.0000 0.0000 0.0000 x1

Here is crystalline Sb4MoCl at its relaxed geometry from the Alexandria database. Energies are from PBE.

Computed properties:
formation energy without anion corrections = 0.703 eV/atom
density of states at the Fermi level = 15.5 states/eV/cell
size of the total moment = 14.315 μB/cell

Unit cell a=8.7227 b=8.7227 c=8.7227 alpha=90.00 beta=90.00 gamma=90.00
Space group F-43m (No. 216)
Inequivalent atoms, fractional coordinates:
Sb 0.1222 0.1222 0.1222 x16
Mo 0.0000 0.0000 0.5000 x4
Cl 0.2500 0.2500 0.7500 x4